VASP calculation (GGA-PBE) on an optimized crystal structure of Pm7Ho12Er.

The total moment comes out at 0.0 Bohr magnetons per cell. The calculation puts the excess energy over the best structure of this formula in the dataset at 823 kJ/mol of formula units. The value obtained for the density of states at the Fermi level is 1.35 states/eV per atom.

The space group is Im-3m (No. 229) and the conventional cell measures 11.256, 11.256 and 11.256 Å, with angles of 90.00, 90.00 and 90.00 degrees. The asymmetric unit holds Pm at (0.000, 0.000, 0.500), Pm at (0.250, 0.250, 0.250), Ho at (0.000, 0.246, 0.246) and Er at (0.000, 0.000, 0.000).

***

VASP calculation (GGA-PBE) on an optimized crystal structure of HgPt2Cl8.

The total moment comes out at 0.2 Bohr magnetons per cell. The energy relative to the elements, uncorrected comes out at -0.28 eV/atom. The value obtained for the density of states at the Fermi level is 0.52 states/eV per atom.

The space group is P-1 (No. 2) and the conventional cell measures 4.448, 8.844 and 9.206 Å, with angles of 77.63, 86.96 and 86.99 degrees. The asymmetric unit holds Hg at (0.000, 0.000, 0.000), Pt at (0.368, 0.602, 0.591), Cl at (0.142, 0.340, 0.357), Cl at (0.358, 0.865, 0.881), Cl at (0.365, 0.405, 0.794) and Cl at (0.368, 0.804, 0.393).